Record 1
A plane-wave DFT calculation with PBE was carried out for an optimized crystal structure of Li3Tb2ScTe6.

Results
- E_form (uncorrected): -15.03 eV per formula unit
- Calculated volume: 28.07 Å³/atom
- Crystal system: monoclinic
- Magnetic moment: 0.000 μB/atom

Cell: 7.437 7.437 7.459 Å, 99.59 99.59 120.00°
Sites, in units of the cell vectors:
Te1 0.916 0.595 0.747
Te2 0.595 0.916 0.747
Te3 0.763 0.763 0.251
Te4 0.237 0.237 0.749
Te5 0.084 0.405 0.253
Te6 0.405 0.084 0.253
Sc1 0.000 0.000 0.000
Tb1 0.334 0.666 0.000
Tb2 0.666 0.334 0.000
Li1 0.169 0.831 0.500
Li2 0.831 0.169 0.500
Li3 0.500 0.500 0.500



Record 2
A plane-wave DFT calculation with PBE was carried out for an optimized crystal structure of LiTb3Sc3Te8.

Results
- E_form (uncorrected): -18.63 eV per formula unit
- Calculated volume: 28.97 Å³/atom
- Crystal system: trigonal
- D(E_F): 5.1 states/eV/f.u.
- Magnetic moment: 0.000 μB/atom

Cell: 8.494 8.494 8.509 Å, 119.94 90.00 120.00°
Sites, in units of the cell vectors:
Te1 0.251 0.990 0.740
Te2 0.749 0.010 0.260
Te3 0.251 0.501 0.740
Te4 0.739 0.990 0.740
Te5 0.261 0.010 0.260
Te6 0.745 0.489 0.734
Te7 0.749 0.499 0.260
Te8 0.255 0.511 0.266
Tb1 0.000 0.500 0.000
Tb2 0.000 0.000 0.000
Tb3 0.500 0.500 0.000
Li1 0.000 0.000 0.500
Sc1 0.500 0.500 0.500
Sc2 0.000 0.500 0.500
Sc3 0.500 0.000 0.500



Record 3
A plane-wave DFT calculation with PBE was carried out for an optimized crystal structure of LiTb2ScTe4.

Results
- E_form (uncorrected): -10.15 eV per formula unit
- Calculated volume: 27.74 Å³/atom
- Crystal system: monoclinic
- D(E_F): 3.6 states/eV/f.u.
- Magnetic moment: 0.000 μB/atom

Cell: 4.269 7.443 7.396 Å, 109.22 90.00 90.00°
Sites, in units of the cell vectors:
Li1 0.000 0.000 0.000
Te1 0.000 0.253 0.767
Te2 0.500 0.244 0.234
Te3 0.000 0.747 0.233
Te4 0.500 0.756 0.766
Sc1 0.500 0.500 0.000
Tb1 0.500 0.000 0.500
Tb2 0.000 0.500 0.500



Record 4
A plane-wave DFT calculation with PBE was carried out for an optimized crystal structure of Li3TbSc2Te6.

Results
- E_form (uncorrected): -14.56 eV per formula unit
- Calculated volume: 27.10 Å³/atom
- Crystal system: monoclinic
- Magnetic moment: 0.000 μB/atom

Cell: 7.325 7.325 7.414 Å, 99.50 99.50 120.02°
Sites, in units of the cell vectors:
Li1 0.163 0.837 0.500
Li2 0.500 0.500 0.500
Li3 0.837 0.163 0.500
Sc1 0.333 0.667 0.000
Sc2 0.667 0.333 0.000
Te1 0.263 0.263 0.752
Te2 0.571 0.917 0.752
Te3 0.917 0.571 0.752
Te4 0.083 0.429 0.248
Te5 0.429 0.083 0.248
Te6 0.737 0.737 0.248
Tb1 0.000 0.000 0.000



Record 5
A plane-wave DFT calculation with PBE was carried out for an optimized crystal structure of LiTbScTe3.

Results
- E_form (uncorrected): -7.06 eV per formula unit
- Calculated volume: 26.99 Å³/atom
- Crystal system: monoclinic
- D(E_F): 3.4 states/eV/f.u.
- Magnetic moment: 0.000 μB/atom

Cell: 4.168 8.543 9.396 Å, 104.54 90.00 90.00°
Sites, in units of the cell vectors:
Te1 0.750 0.904 0.121
Te2 0.250 0.752 0.496
Te3 0.750 0.248 0.504
Te4 0.250 0.096 0.879
Te5 0.750 0.428 0.163
Te6 0.250 0.572 0.837
Li1 0.750 0.911 0.411
Li2 0.250 0.089 0.589
Sc1 0.250 0.667 0.163
Sc2 0.750 0.333 0.837
Tb1 0.750 0.810 0.762
Tb2 0.250 0.190 0.238



Record 6
A plane-wave DFT calculation with PBE was carried out for an optimized crystal structure of LiTbThSc.

Results
- ΔE_f: 0.190 eV per atom
- Calculated volume: 27.17 Å³/atom
- Crystal system: cubic
- D(E_F): 5.2 states/eV/f.u.
- Magnetic moment: 0.000 μB/atom

Cell: 5.356 5.356 5.356 Å, 60.00 60.00 60.00°
Sites, in units of the cell vectors:
Li1 0.750 0.750 0.750
Sc1 0.250 0.250 0.250
Tb1 0.500 0.500 0.500
Th1 0.000 0.000 0.000